# 1
HoTmZnNi (PBE-GGA, optimized geometry); space-group type = F-43m (216); calculated total energy = -4.399 eV/atom
1.0
0.0000 3.4367 3.4367
3.4367 0.0000 3.4367
3.4367 3.4367 0.0000
Ho Tm Zn Ni
1 1 1 1
direct
0.0000 0.0000 0.0000
0.5000 0.5000 0.5000
0.7500 0.7500 0.7500
0.2500 0.2500 0.2500

# 2
Na4Hg3 (PBE-GGA, optimized geometry); space-group type = I4/mmm (139); calculated total energy = -1.100 eV/atom
1.0
-1.9305 1.9305 12.6604
1.9305 -1.9305 12.6604
1.9305 1.9305 -12.6604
Na Hg
4 3
direct
0.0702 0.0702 0.0000
0.2064 0.2064 0.0000
0.7936 0.7936 0.0000
0.9298 0.9298 0.0000
0.3606 0.3606 0.0000
0.5000 0.5000 0.0000
0.6394 0.6394 0.0000

# 3
LiTb4Er3Se8 (PBE-GGA, optimized geometry); space-group type = R-3m (166); calculated total energy = -5.613 eV/atom
1.0
4.0500 2.3383 6.6363
-4.0500 2.3383 6.6363
0.0000 -4.6765 6.6363
Li Tb Er Se
1 4 3 8
direct
0.0000 0.0000 0.0000
0.0000 0.0000 0.5000
0.0000 0.5000 0.0000
0.5000 0.0000 0.0000
0.5000 0.5000 0.5000
0.0000 0.5000 0.5000
0.5000 0.0000 0.5000
0.5000 0.5000 0.0000
0.2435 0.2435 0.7529
0.2435 0.7529 0.2435
0.2471 0.7565 0.7565
0.2518 0.2518 0.2518
0.7482 0.7482 0.7482
0.7529 0.2435 0.2435
0.7565 0.2471 0.7565
0.7565 0.7565 0.2471

# 4
Cs3Tb3NbSe8 (PBE-GGA, optimized geometry); space-group type = R-3m (166); calculated total energy = -5.126 eV/atom
1.0
4.1297 2.3843 8.5652
-4.1297 2.3843 8.5652
0.0000 -4.7685 8.5652
Cs Tb Nb Se
3 3 1 8
direct
0.0000 0.5000 0.5000
0.5000 0.0000 0.5000
0.5000 0.5000 0.0000
0.0000 0.0000 0.5000
0.0000 0.5000 0.0000
0.5000 0.0000 0.0000
0.5000 0.5000 0.5000
0.2292 0.2292 0.2292
0.2477 0.7152 0.7152
0.2848 0.2848 0.7523
0.2848 0.7523 0.2848
0.7152 0.2477 0.7152
0.7152 0.7152 0.2477
0.7523 0.2848 0.2848
0.7708 0.7708 0.7708

# 5
HgPI3 (PBE-GGA, optimized geometry); space-group type = Pm-3m (221); calculated total energy = -1.365 eV/atom
1.0
5.9209 0.0000 0.0000
0.0000 5.9209 0.0000
0.0000 0.0000 5.9209
Hg P I
1 1 3
direct
0.0000 0.0000 0.0000
0.5000 0.5000 0.5000
0.0000 0.0000 0.5000
0.0000 0.5000 0.0000
0.5000 0.0000 0.0000

# 6
Si2PCl (PBE-GGA, optimized geometry); space-group type = Immm (71); calculated total energy = -3.976 eV/atom
1.0
-1.5319 2.2778 4.9361
1.5319 -2.2778 4.9361
1.5319 2.2778 -4.9361
Si P Cl
2 1 1
direct
0.2021 0.2021 0.0000
0.7979 0.7979 0.0000
0.0000 0.5000 0.5000
0.5000 0.0000 0.5000

# 7
Li3SiH (PBE-GGA, optimized geometry); space-group type = Pm-3m (221); calculated total energy = -3.073 eV/atom
1.0
3.8956 0.0000 0.0000
0.0000 3.8956 0.0000
0.0000 0.0000 3.8956
Li Si H
3 1 1
direct
0.0000 0.0000 0.5000
0.0000 0.5000 0.0000
0.5000 0.0000 0.0000
0.5000 0.5000 0.5000
0.0000 0.0000 0.0000

# 8
Mg3Ga2Cu4 (PBE-GGA, optimized geometry); space-group type = C2/m (12); calculated total energy = -3.167 eV/atom
1.0
4.5172 -2.0862 0.0000
4.5172 2.0862 0.0000
-1.1377 0.0000 7.8558
Mg Ga Cu
3 2 4
direct
0.0000 0.0000 0.0000
0.3824 0.3824 0.6102
0.6176 0.6176 0.3898
0.3030 0.3030 0.2353
0.6970 0.6970 0.7647
0.0888 0.0888 0.6312
0.2782 0.2782 0.9161
0.7218 0.7218 0.0839
0.9112 0.9112 0.3688

Q: The highest calculated total energy belongs to which entry?
A: Na4Hg3

Q: Look up the calculated total energy of the sixth one.
A: -3.976 eV/atom

Q: Which of these has the lowest calculated total energy?
A: LiTb4Er3Se8